No. 1
A plane-wave DFT calculation with PBE-GGA was carried out for a relaxed structure of Pr6ErTe8.

Cell: 9.017 9.017 9.017 Å, 60.00 60.00 60.00°
Atoms (fractional coordinates):
1 Pr 0.000 0.000 0.500
2 Pr 0.000 0.500 0.000
3 Pr 0.000 0.500 0.500
4 Pr 0.500 0.000 0.000
5 Pr 0.500 0.000 0.500
6 Pr 0.500 0.500 0.000
7 Er 0.000 0.000 0.000
8 Te 0.246 0.246 0.754
9 Te 0.246 0.754 0.246
10 Te 0.246 0.754 0.754
11 Te 0.250 0.250 0.250
12 Te 0.750 0.750 0.750
13 Te 0.754 0.246 0.246
14 Te 0.754 0.246 0.754
15 Te 0.754 0.754 0.246

Values from the calculation:
- D(E_F) (states/eV/f.u.) = 7.31
- total DFT energy (no corrections) (eV/atom) = -5.34
- crystal system = cubic
- E_form (uncorrected) (eV/f.u.) = -21.75

---

No. 2
A plane-wave DFT calculation with PBE-GGA was carried out for a relaxed structure of PmEr8Tm4.

Cell: 9.856 9.856 9.856 Å, 42.88 42.88 42.88°
Atoms (fractional coordinates):
1 Pm 0.000 0.000 0.000
2 Er 0.251 0.251 0.695
3 Er 0.251 0.695 0.251
4 Er 0.282 0.282 0.282
5 Er 0.305 0.749 0.749
6 Er 0.695 0.251 0.251
7 Er 0.718 0.718 0.718
8 Er 0.749 0.305 0.749
9 Er 0.749 0.749 0.305
10 Tm 0.000 0.000 0.500
11 Tm 0.000 0.500 0.000
12 Tm 0.500 0.000 0.000
13 Tm 0.500 0.500 0.500

Values from the calculation:
- E_form (eV/f.u.) = 2.78
- D(E_F) (states/eV/f.u.) = 15.67
- total DFT energy (no corrections) (eV/atom) = -4.34
- crystal system = trigonal

---

No. 3
A plane-wave DFT calculation with PBE-GGA was carried out for a relaxed structure of Sr2CaGe2.

Cell: 9.207 9.207 3.550 Å, 90.00 90.00 90.00°
Atoms (fractional coordinates):
1 Sr 0.126 0.374 0.000
2 Sr 0.374 0.874 0.000
3 Sr 0.626 0.126 0.000
4 Sr 0.874 0.626 0.000
5 Ca 0.000 0.000 0.000
6 Ca 0.500 0.500 0.000
7 Ge 0.175 0.675 0.500
8 Ge 0.325 0.175 0.500
9 Ge 0.675 0.825 0.500
10 Ge 0.825 0.325 0.500

Values from the calculation:
- E_form (eV/f.u.) = -1.54
- D(E_F) (states/eV/f.u.) = 3.07
- total DFT energy (no corrections) (eV/atom) = -3.23
- crystal system = tetragonal
- E above lowest polymorph (meV/atom) = 229

---

No. 4
A plane-wave DFT calculation with PBE-GGA was carried out for a relaxed structure of ZnSb2Os.

Cell: 3.207 3.198 7.995 Å, 90.00 90.25 90.00°
Atoms (fractional coordinates):
1 Zn 0.000 0.000 0.000
2 Sb 0.498 0.500 0.285
3 Sb 0.502 0.500 0.715
4 Os 0.000 0.000 0.500

Values from the calculation:
- D(E_F) (states/eV/f.u.) = 1.59
- total DFT energy (no corrections) (eV/atom) = -4.89
- crystal system = monoclinic
- E_form (uncorrected) (eV/f.u.) = 1.20

---

No. 5
A plane-wave DFT calculation with PBE-GGA was carried out for a relaxed structure of Nd2Y4Tl.

Cell: 5.786 6.765 11.694 Å, 90.00 103.29 90.00°
Atoms (fractional coordinates):
1 Nd 0.024 0.250 0.474
2 Nd 0.329 0.750 0.073
3 Nd 0.671 0.250 0.927
4 Nd 0.976 0.750 0.526
5 Y 0.160 0.008 0.787
6 Y 0.160 0.492 0.787
7 Y 0.225 0.250 0.069
8 Y 0.404 0.750 0.370
9 Y 0.596 0.250 0.630
10 Y 0.775 0.750 0.931
11 Y 0.840 0.508 0.213
12 Y 0.840 0.992 0.213
13 Tl 0.456 0.250 0.338
14 Tl 0.544 0.750 0.662

Values from the calculation:
- E_form (eV/f.u.) = -0.14
- D(E_F) (states/eV/f.u.) = 9.07
- total DFT energy (no corrections) (eV/atom) = -5.41
- crystal system = monoclinic

---

No. 6
A plane-wave DFT calculation with PBE-GGA was carried out for a relaxed structure of Li2CdRe.

Cell: 9.915 9.915 9.915 Å, 16.10 16.10 16.10°
Atoms (fractional coordinates):
1 Li 0.244 0.244 0.244
2 Li 0.756 0.756 0.756
3 Cd 0.000 0.000 0.000
4 Re 0.500 0.500 0.500

Values from the calculation:
- E_form (eV/f.u.) = 0.66
- D(E_F) (states/eV/f.u.) = 3.01
- total DFT energy (no corrections) (eV/atom) = -4.13
- crystal system = trigonal

---

No. 7
A plane-wave DFT calculation with PBE-GGA was carried out for a relaxed structure of Ho6CS5.

Cell: 6.657 6.657 6.674 Å, 99.54 99.54 119.91°
Atoms (fractional coordinates):
1 Ho 0.076 0.382 0.729
2 Ho 0.229 0.229 0.269
3 Ho 0.382 0.076 0.729
4 Ho 0.618 0.924 0.271
5 Ho 0.771 0.771 0.731
6 Ho 0.924 0.618 0.271
7 C 0.000 0.000 0.500
8 S 0.172 0.828 0.000
9 S 0.334 0.666 0.500
10 S 0.500 0.500 0.000
11 S 0.666 0.334 0.500
12 S 0.828 0.172 0.000

Values from the calculation:
- D(E_F) (states/eV/f.u.) = 4.41
- total DFT energy (no corrections) (eV/atom) = -6.57
- crystal system = monoclinic
- E_form (uncorrected) (eV/f.u.) = -21.50

---

No. 8
A plane-wave DFT calculation with PBE-GGA was carried out for a relaxed structure of GaTcSe2.

Cell: 4.582 4.582 4.582 Å, 60.00 60.00 60.00°
Atoms (fractional coordinates):
1 Ga 0.000 0.000 0.000
2 Tc 0.500 0.500 0.500
3 Se 0.250 0.250 0.250
4 Se 0.750 0.750 0.750

Values from the calculation:
- D(E_F) (states/eV/f.u.) = 1.88
- total DFT energy (no corrections) (eV/atom) = -4.91
- crystal system = cubic
- E_form (uncorrected) (eV/f.u.) = 0.74
- E above lowest polymorph (meV/atom) = 281